Arrangement A

An optimized crystal structure of SeIF3, computed with PBE-GGA.

```
data_SeIF3
_symmetry_space_group_name_H-M 'P m -3 m'
_symmetry_Int_Tables_number 221
_symmetry_space_group_name_Hall '-P 4 2 3'
_cell_length_a 4.665
_cell_length_b 4.665
_cell_length_c 4.665
_cell_angle_alpha 90.00
_cell_angle_beta 90.00
_cell_angle_gamma 90.00
loop_
_atom_site_label
_atom_site_type_symbol
_atom_site_fract_x
_atom_site_fract_y
_atom_site_fract_z
Se1 Se 0.000 0.000 0.000
I1 I 0.500 0.500 0.500
F1 F 0.000 0.500 0.500
```



Arrangement B

An optimized crystal structure of SeIF3, computed with PBE-GGA.

```
data_SeIF3
_symmetry_space_group_name_H-M 'P m n 21'
_symmetry_Int_Tables_number 31
_cell_length_a 7.724
_cell_length_b 5.337
_cell_length_c 5.864
_cell_angle_alpha 90.00
_cell_angle_beta 90.00
_cell_angle_gamma 90.00
loop_
_symmetry_equiv_pos_as_xyz
'x,y,z'
'-x+1/2,-y,z+1/2'
'-x,y,z'
'x+1/2,-y,z+1/2'
loop_
_atom_site_label
_atom_site_type_symbol
_atom_site_fract_x
_atom_site_fract_y
_atom_site_fract_z
Se1 Se 0.000 0.006 0.000
I1 I 0.000 0.385 0.699
F1 F 0.000 0.784 0.242
F2 F 0.176 0.150 0.141
```



Most stable pick: arrangement B. Distance to second place: 809 meV/atom.



Arrangement A

An optimized crystal structure of SmIF2, computed with PBE-GGA.

```
data_SmIF2
_symmetry_space_group_name_H-M 'R -3 m'
_symmetry_Int_Tables_number 166
_symmetry_space_group_name_Hall '-R 3 2"'
_cell_length_a 4.0652
_cell_length_b 4.0652
_cell_length_c 17.0177
_cell_angle_alpha 90.00
_cell_angle_beta 90.00
_cell_angle_gamma 120.00
loop_
_atom_site_label
_atom_site_type_symbol
_atom_site_fract_x
_atom_site_fract_y
_atom_site_fract_z
Sm1 Sm 0.0000 0.0000 0.0000
I1 I 0.0000 0.0000 0.5000
F1 F 0.0000 0.0000 0.3065
```



Arrangement B

An optimized crystal structure of SmIF2, computed with PBE-GGA.

```
data_SmIF2
_symmetry_space_group_name_H-M 'C m c m'
_symmetry_Int_Tables_number 63
_symmetry_space_group_name_Hall '-C 2c 2'
_cell_length_a 3.930
_cell_length_b 11.856
_cell_length_c 7.245
_cell_angle_alpha 90.00
_cell_angle_beta 90.00
_cell_angle_gamma 90.00
loop_
_atom_site_label
_atom_site_type_symbol
_atom_site_fract_x
_atom_site_fract_y
_atom_site_fract_z
Sm1 Sm 0.000 0.243 0.250
I1 I 0.000 0.043 0.750
F1 F 0.000 0.303 0.573
```



Most stable pick: arrangement B. Distance to second place: 84 meV/atom.



Arrangement A

An optimized crystal structure of Sn2IF, computed with PBE-GGA.

```
data_Sn2IF
_symmetry_space_group_name_H-M 'I -4 2 d'
_symmetry_Int_Tables_number 122
_symmetry_space_group_name_Hall 'I -4 2bw'
_cell_length_a 5.485
_cell_length_b 5.485
_cell_length_c 17.055
_cell_angle_alpha 90.00
_cell_angle_beta 90.00
_cell_angle_gamma 90.00
loop_
_atom_site_label
_atom_site_type_symbol
_atom_site_fract_x
_atom_site_fract_y
_atom_site_fract_z
Sn1 Sn 0.112 0.250 0.125
I1 I 0.000 0.000 0.500
F1 F 0.000 0.000 0.000
```



Arrangement B

An optimized crystal structure of Sn2IF, computed with PBE-GGA.

```
data_Sn2IF
_symmetry_space_group_name_H-M 'F m -3 m'
_symmetry_Int_Tables_number 225
_symmetry_space_group_name_Hall '-F 4 2 3'
_cell_length_a 7.496
_cell_length_b 7.496
_cell_length_c 7.496
_cell_angle_alpha 90.00
_cell_angle_beta 90.00
_cell_angle_gamma 90.00
loop_
_atom_site_label
_atom_site_type_symbol
_atom_site_fract_x
_atom_site_fract_y
_atom_site_fract_z
Sn1 Sn 0.250 0.250 0.250
I1 I 0.000 0.000 0.000
F1 F 0.000 0.000 0.500
```



Most stable pick: arrangement A. Distance to second place: 341 meV/atom.



Arrangement A

An optimized crystal structure of Sn2IF2, computed with PBE-GGA.

```
data_Sn2IF2
_symmetry_space_group_name_H-M 'C m c m'
_symmetry_Int_Tables_number 63
_symmetry_space_group_name_Hall '-C 2c 2'
_cell_length_a 4.365
_cell_length_b 10.991
_cell_length_c 10.063
_cell_angle_alpha 90.00
_cell_angle_beta 90.00
_cell_angle_gamma 90.00
loop_
_atom_site_label
_atom_site_type_symbol
_atom_site_fract_x
_atom_site_fract_y
_atom_site_fract_z
Sn1 Sn 0.000 0.126 0.091
I1 I 0.000 0.438 0.250
F1 F 0.000 0.287 0.562
```



Arrangement B

An optimized crystal structure of Sn2IF2, computed with PBE-GGA.

```
data_Sn2IF2
_symmetry_space_group_name_H-M 'C 1 2/m 1'
_symmetry_Int_Tables_number 12
_cell_length_a 9.120
_cell_length_b 4.490
_cell_length_c 6.435
_cell_angle_alpha 90.00
_cell_angle_beta 103.90
_cell_angle_gamma 90.00
loop_
_symmetry_equiv_pos_as_xyz
'x,y,z'
'-x,-y,-z'
'-x,y,-z'
'x,-y,z'
'x+1/2,y+1/2,z'
'-x+1/2,-y+1/2,-z'
'-x+1/2,y+1/2,-z'
'x+1/2,-y+1/2,z'
loop_
_atom_site_label
_atom_site_type_symbol
_atom_site_fract_x
_atom_site_fract_y
_atom_site_fract_z
Sn1 Sn 0.158 0.000 0.181
I1 I 0.000 0.500 0.500
F1 F 0.208 0.500 0.079
```



Most stable pick: arrangement A. Distance to second place: 15 meV/atom.